CoO4 | PBE with a Hubbard U | optimized geometry

- magnetization (μB per cell) = 7.085
- crystal system = cubic
- symmetry = No. 221
- Fermi-level density of states (states/eV per atom) = 0.852
- electronic total energy (eV/atom) = -4.3539
- ρ (g cm⁻³) = 3.912

Lattice parameters (Å, degrees): 3.737 3.737 3.737 90.00 90.00 90.00
Fractional positions:
Co: 0.000 0.000 0.000
O: 0.000 0.000 0.500
O: 0.000 0.500 0.000
O: 0.500 0.000 0.000
O: 0.500 0.500 0.500